# 1
Compound: NdSm4Ho3
Source: Alexandria
Functional: GGA-PBE
Structure: relaxed Values from VASP.

```
&SYSTEM
  ibrav = 0, nat = 16, ntyp = 3
/
ATOMIC_SPECIES
Nd 144.24 Nd.upf
Sm 150.36 Sm.upf
Ho 164.93 Ho.upf
CELL_PARAMETERS angstrom
6.320 0.000 0.000
0.000 7.320 0.000
0.000 0.000 11.514
ATOMIC_POSITIONS angstrom
Nd 0.933 2.748 0.000
Nd 4.093 4.572 5.757
Sm 0.918 6.390 0.000
Sm 4.111 0.931 0.000
Sm 6.203 0.919 2.910
Sm 3.043 6.401 2.847
Sm 0.951 6.389 5.757
Sm 4.078 0.930 5.757
Sm 3.043 6.401 8.667
Sm 6.203 0.919 8.604
Ho 4.093 4.562 0.000
Ho 6.199 4.561 2.880
Ho 3.039 2.759 2.877
Ho 0.933 2.758 5.757
Ho 3.039 2.759 8.637
Ho 6.199 4.561 8.634
```

Excess energy over the best structure of this formula in the dataset: 0.0 meV per atom


# 2
Compound: Nd3Sm2Ho4
Source: Alexandria
Functional: GGA-PBE
Structure: relaxed Values from VASP.

```
&SYSTEM
  ibrav = 0, nat = 18, ntyp = 3
/
ATOMIC_SPECIES
Nd 144.24 Nd.upf
Sm 150.36 Sm.upf
Ho 164.93 Ho.upf
CELL_PARAMETERS angstrom
5.820 1.625 1.163
2.189 11.083 0.729
2.189 4.262 10.257
ATOMIC_POSITIONS angstrom
Nd 5.136 2.747 4.084
Nd 7.972 13.030 11.447
Nd 5.062 14.223 8.066
Nd 2.226 3.939 0.703
Nd 3.644 9.044 4.436
Nd 6.554 7.926 7.714
Sm 4.222 5.893 5.951
Sm 3.065 8.625 7.907
Sm 5.975 11.077 6.199
Sm 7.132 8.344 4.243
Ho 4.906 11.910 2.954
Ho 2.381 9.523 1.245
Ho 5.291 5.060 9.195
Ho 7.816 7.447 10.905
Ho 1.718 3.504 4.153
Ho 5.570 11.097 9.590
Ho 8.480 13.466 7.997
Ho 4.628 5.873 2.560
```

Excess energy over the best structure of this formula in the dataset: 2.7 meV per atom


# 3
Compound: Nd5Sm12Ho
Source: Alexandria
Functional: GGA-PBE
Structure: relaxed Values from VASP.

```
&SYSTEM
  ibrav = 0, nat = 18, ntyp = 3
/
ATOMIC_SPECIES
Nd 144.24 Nd.upf
Sm 150.36 Sm.upf
Ho 164.93 Ho.upf
CELL_PARAMETERS angstrom
10.918 0.002 -0.005
5.459 9.409 0.839
0.002 1.541 6.103
ATOMIC_POSITIONS angstrom
Nd 5.460 0.771 3.049
Nd 5.462 7.054 3.598
Nd 10.918 3.897 3.339
Nd 10.920 6.275 0.561
Nd 5.460 4.676 6.376
Sm 14.569 10.180 3.887
Sm 1.811 0.771 3.051
Sm 12.755 9.410 0.836
Sm 3.625 1.542 6.101
Sm 7.278 7.828 6.656
Sm 14.565 7.829 6.651
Sm 1.815 3.122 0.286
Sm 9.101 3.123 0.282
Sm 7.286 3.908 3.322
Sm 12.747 7.044 3.612
Sm 3.633 3.907 3.325
Sm 9.094 7.043 3.615
Ho 0.000 0.000 0.000
```

Raw total energy: -4.710 eV/atom